{
  "formula": "BeSbAu",
  "functional": "PBE",
  "state": "optimized geometry",
  "cell": [[-1.560, 1.560, 5.816], [1.560, -1.560, 5.816], [1.560, 1.560, -5.816]],
  "species": ["Be", "Sb", "Au"],
  "frac_coords": [[0.000, 0.000, 0.000], [0.690, 0.690, 0.000], [0.418, 0.418, 0.000]],
  "sg": "I4mm, No. 107",
  "formation_energy_uncorrected_ev_per_atom": 0.1876
}